No. 1
A geometry-optimized K2HoI4 structure, computed with PBE.

The calculation puts the uncorrected formation energy at -1.219 eV per atom.

It has space group I4/mmm (No. 139), with a = 5.989 Å, b = 5.989 Å, c = 17.978 Å, α = 90.00°, β = 90.00° and γ = 90.00°. Symmetry generates all atoms from K at (0.000, 0.000, 0.136), Ho at (0.000, 0.000, 0.500), I at (0.000, 0.000, 0.329) and I at (0.000, 0.500, 0.000).


No. 2
A geometry-optimized KHoI2 structure, computed with PBE.

The calculation puts the uncorrected formation energy at -0.847 eV per atom.

It has space group R-3m (No. 166, hexagonal axes), with a = 4.1266 Å, b = 4.1266 Å, c = 34.8763 Å, α = 90.00°, β = 90.00° and γ = 120.00°. Symmetry generates all atoms from K at (0.0000, 0.0000, 0.0000), Ho at (0.0000, 0.0000, 0.5000) and I at (0.0000, 0.0000, 0.1100).


No. 3
A geometry-optimized KLiHoI5 structure, computed with PBE.

The calculation puts the uncorrected formation energy at -1.346 eV per atom.

It has space group C2/c (No. 15), with a = 9.936 Å, b = 13.654 Å, c = 11.339 Å, α = 90.00°, β = 112.98° and γ = 90.00°. Symmetry generates all atoms from K at (0.000, 0.142, 0.250), Li at (0.000, 0.192, 0.750), Ho at (0.000, 0.500, 0.000), I at (0.000, 0.415, 0.250), I at (0.121, 0.304, 0.615) and I at (0.190, 0.068, 0.939).


No. 4
A geometry-optimized KLi2HoI6 structure, computed with PBE.

The calculation puts the uncorrected formation energy at -1.300 eV per atom.

It has space group R3 (No. 146, hexagonal axes), with a = 7.8585 Å, b = 7.8585 Å, c = 21.6083 Å, α = 90.00°, β = 90.00° and γ = 120.00°. Symmetry generates all atoms from K at (0.0000, 0.0000, 0.0000), Li at (0.0000, 0.0000, 0.1956), Li at (0.0000, 0.0000, 0.7021), Ho at (0.0000, 0.0000, 0.5153), I at (0.0053, 0.3380, 0.4454) and I at (0.0715, 0.7301, 0.2716).


No. 5
A geometry-optimized KHoMgI6 structure, computed with PBE.

The calculation puts the uncorrected formation energy at -1.287 eV per atom.

It has space group P-31c (No. 163), with a = 7.7177 Å, b = 7.7177 Å, c = 15.7355 Å, α = 90.00°, β = 90.00° and γ = 120.00°. Symmetry generates all atoms from K at (0.0000, 0.0000, 0.0000), Ho at (0.3333, 0.6667, 0.2500), Mg at (0.3333, 0.6667, 0.7500) and I at (0.0073, 0.3722, 0.6403).


No. 6
A geometry-optimized KNa2HoI6 structure, computed with PBE.

The calculation puts the uncorrected formation energy at -1.344 eV per atom.

It has space group R3 (No. 146, hexagonal axes), with a = 8.1639 Å, b = 8.1639 Å, c = 22.3388 Å, α = 90.00°, β = 90.00° and γ = 120.00°. Symmetry generates all atoms from K at (0.0000, 0.0000, 0.0000), Na at (0.0000, 0.0000, 0.2977), Na at (0.0000, 0.0000, 0.8103), Ho at (0.0000, 0.0000, 0.4865), I at (0.0086, 0.3183, 0.5599) and I at (0.0252, 0.6326, 0.0686).


No. 7
A geometry-optimized KHoPbI6 structure, computed with PBE.

The calculation puts the uncorrected formation energy at -1.167 eV per atom.

It has space group P-31c (No. 163), with a = 8.0995 Å, b = 8.0995 Å, c = 15.4584 Å, α = 90.00°, β = 90.00° and γ = 120.00°. Symmetry generates all atoms from K at (0.0000, 0.0000, 0.0000), Ho at (0.3333, 0.6667, 0.2500), Pb at (0.3333, 0.6667, 0.7500) and I at (0.0201, 0.3750, 0.1344).


No. 8
A geometry-optimized KSrHoI6 structure, computed with PBE.

The calculation puts the uncorrected formation energy at -1.519 eV per atom.

It has space group P-31c (No. 163), with a = 8.2016 Å, b = 8.2016 Å, c = 15.2647 Å, α = 90.00°, β = 90.00° and γ = 120.00°. Symmetry generates all atoms from K at (0.0000, 0.0000, 0.0000), Sr at (0.3333, 0.6667, 0.2500), Ho at (0.3333, 0.6667, 0.7500) and I at (0.0244, 0.3760, 0.6333).


| no. | calculated volume (Å³ per cell) | E (eV/atom) |
| --- | --- | --- |
| 1 | 645 | -3.07 |
| 2 | 514 | -3.04 |
| 3 | 1416 | -3.26 |
| 4 | 1156 | -3.18 |
| 5 | 812 | -3.13 |
| 6 | 1289 | -3.11 |
| 7 | 878 | -3.24 |
| 8 | 889 | -3.37 |